1.
4
Lattice="-1.427 1.958 4.394 1.427 -1.958 4.394 1.427 1.958 -4.394" Properties=species:S:1:pos:R:3 comment="Be2OsAu PBE relaxed" formation_energy_ev_per_atom=0.140 sg=Imm2 pbc="T T T"
Be 0.000 0.000 0.000
Be 0.000 1.958 2.292
Os 1.427 0.000 2.156
Au 0.000 0.000 4.537

2.
4
Lattice="2.605 -4.690 0.000 2.605 4.690 0.000 -1.413 0.000 2.392" Properties=species:S:1:pos:R:3 comment="BeOs2Au PBE relaxed" formation_energy_ev_per_atom=0.574 sg=C2/m pbc="T T T"
Be 0.000 0.000 0.000
Os 0.596 2.345 1.196
Os 0.596 -2.345 1.196
Au 2.605 0.000 0.000

3.
4
Lattice="3.740 0.000 0.000 0.000 3.740 0.000 0.000 0.000 4.060" Properties=species:S:1:pos:R:3 comment="BeOs2Au PBE relaxed" formation_energy_ev_per_atom=0.592 sg=P4/mmm pbc="T T T"
Be 0.000 0.000 0.000
Os 0.000 1.870 2.030
Os 1.870 0.000 2.030
Au 1.870 1.870 0.000

4.
4
Lattice="3.975 0.000 0.000 0.000 3.975 0.000 0.000 0.000 2.987" Properties=species:S:1:pos:R:3 comment="Be2OsAu PBE relaxed" formation_energy_ev_per_atom=-0.133 sg=P4/mmm pbc="T T T"
Be 0.000 1.988 0.000
Be 1.988 0.000 0.000
Os 0.000 0.000 1.494
Au 1.988 1.988 1.494

5.
4
Lattice="4.264 0.000 0.000 0.000 4.264 0.000 0.000 0.000 3.096" Properties=species:S:1:pos:R:3 comment="BeOs2Au PBE relaxed" formation_energy_ev_per_atom=0.684 sg=P4/mmm pbc="T T T"
Be 0.000 0.000 0.000
Os 0.000 2.132 1.548
Os 2.132 0.000 1.548
Au 2.132 2.132 0.000

6.
4
Lattice="1.388 -2.310 0.000 1.388 2.310 0.000 0.000 0.000 8.893" Properties=species:S:1:pos:R:3 comment="BeOs2Au PBE relaxed" formation_energy_ev_per_atom=0.452 sg=Cmmm pbc="T T T"
Be 0.000 0.000 0.000
Os 1.388 0.000 1.903
Os 1.388 0.000 6.990
Au 0.000 0.000 4.447

7.
8
Lattice="-1.885 1.885 9.007 1.885 -1.885 9.007 1.885 1.885 -9.007" Properties=species:S:1:pos:R:3 comment="BeOs2Au PBE relaxed" formation_energy_ev_per_atom=0.764 sg=I-42d pbc="T T T"
Be 0.000 0.000 0.000
Be 0.000 1.885 4.504
Os 2.828 0.698 -2.252
Os 0.698 0.943 2.252
Os -0.943 1.188 6.756
Os 1.188 0.943 11.259
Au 1.885 0.000 4.504
Au 0.000 0.000 9.007

8.
4
Lattice="4.449 -1.339 0.000 4.449 1.339 0.000 -1.134 0.000 4.112" Properties=species:S:1:pos:R:3 comment="Be2OsAu PBE relaxed" formation_energy_ev_per_atom=0.059 sg=Cm pbc="T T T"
Be 0.000 0.000 0.000
Be 6.084 0.000 1.448
Os 3.706 0.000 1.949
Au 1.239 0.000 3.575

9.
4
Lattice="2.889 0.000 0.000 0.000 2.889 0.000 0.000 0.000 5.795" Properties=species:S:1:pos:R:3 comment="Be2OsAu PBE relaxed" formation_energy_ev_per_atom=0.044 sg=P4mm pbc="T T T"
Be 0.000 0.000 0.000
Be 1.444 1.444 1.157
Os 0.000 0.000 2.335
Au 1.444 1.444 4.408

10.
4
Lattice="1.392 0.804 7.574 -1.392 0.804 7.574 0.000 -1.608 7.574" Properties=species:S:1:pos:R:3 comment="Be2OsAu PBE relaxed" formation_energy_ev_per_atom=0.072 sg=R-3m pbc="T T T"
Be 0.000 0.000 5.573
Be 0.000 0.000 17.149
Os 0.000 0.000 11.361
Au 0.000 0.000 0.000

11.
4
Lattice="-1.367 2.096 4.859 1.367 -2.096 4.859 1.367 2.096 -4.859" Properties=species:S:1:pos:R:3 comment="BeOs2Au PBE relaxed" formation_energy_ev_per_atom=0.219 sg=Immm pbc="T T T"
Be 0.000 0.000 0.000
Os 1.367 0.000 1.993
Os 0.000 2.096 2.865
Au 0.000 0.000 4.859

12.
7
Lattice="-2.479 2.479 5.960 2.479 -2.479 5.960 2.479 2.479 -5.960" Properties=species:S:1:pos:R:3 comment="Be2OsAu4 PBE relaxed" formation_energy_ev_per_atom=1.008 sg=I4/mmm pbc="T T T"
Be 0.000 0.000 1.068
Be 0.000 0.000 10.852
Os 0.000 0.000 5.960
Au 2.479 0.000 0.000
Au 0.000 0.000 3.241
Au 0.000 2.479 0.000
Au 0.000 0.000 8.679

Calculated calculated density in order - 13.696; 16.662; 17.147; 14.255; 17.296; 17.083; 15.207; 13.732; 13.914; 13.227; 17.484; 11.293 g/cm³